This record from the Alexandria database describes crystalline TeMoI2O at its relaxed geometry. The functional is PBE+U.

Properties
* energy relative to the lowest polymorph listed for this composition: 1307 meV/atom
* total DFT energy (no corrections): -2.49 eV per atom
* total magnetization: 0.00 μB/atom

a b c (Å): 5.4660 5.4660 5.2210
angles (deg): 90.00 90.00 90.00
Closest atoms and distances in Å follow each position.
Fractional coordinates of all 5 atoms:
Mo 0.0000 0.0000 0.0000  2 Te 2.61, 4 I 2.73
O 0.5000 0.5000 0.5000  8 I 3.78, 4 Te 3.87
I 0.5000 0.0000 0.0000  2 Mo 2.73
I 0.0000 0.5000 0.0000  2 Mo 2.73
Te 0.0000 0.0000 0.5000  2 Mo 2.61